First-principles (PBE-GGA) data for a relaxed ScNbCrAs2 crystal, as listed in Alexandria.

Results
The uncorrected energy is -6.72 eV/atom. For the calculated density, the calculation gives 5.64 g/cm3. As for the formation energy: 0.343 eV/atom. The value obtained for the density of states at the Fermi level is 4.787 states/eV/f.u. As for the space group: P4/mmm, No. 123.

Cell lengths 4.6335, 4.6335, 4.6606 Å; angles 90.00, 90.00, 90.00 degrees
Fractional positions:
Sc1 0.0000 0.0000 0.0000
Nb1 0.5000 0.5000 0.0000
Cr1 0.5000 0.5000 0.5000
As1 0.0000 0.5000 0.5000
As2 0.5000 0.0000 0.5000